DFT (GGA+U) results for an optimized crystal structure of HfVIO2. Values from VASP.

Values from the calculation:
Magnetic moment   4.003 μB/cell
Uncorrected energy   -7.082 eV per atom
Symmetry   P4/mmm
DOS(E_F)   1.52 states/eV/cell
E above lowest polymorph   0 meV per atom

The structure in Quantum ESPRESSO input format:
```
&SYSTEM
  ibrav = 0, nat = 5, ntyp = 4
/
ATOMIC_SPECIES
Hf 178.49 Hf.upf
O 16.00 O.upf
V 50.94 V.upf
I 126.90 I.upf
CELL_PARAMETERS angstrom
-3.7644 0.2125 -1.5262
1.2241 -2.0345 -3.3026
-1.4198 -5.3336 2.7594
ATOMIC_POSITIONS angstrom
Hf 0.0000 0.0000 0.0000
O -1.8822 0.1062 -0.7631
O 0.6121 -1.0173 -1.6513
V -1.9800 -3.5778 -1.0347
I -0.7099 -2.6668 1.3797
```